[1]
# AlBSe

A geometry-optimized AlBSe structure (PBE, Alexandria via LeMat-Bulk).

Properties
Density of states at the Fermi level in states/eV/f.u.: 0.49
Total DFT energy (no corrections) in eV/atom: -4.735
Magnetization in μB/atom: 0.00
Formation energy (no corrections) in eV per atom: -0.101
Space-group type: No. 1

abc: 3.216 3.768 10.299
angles: 81.80 82.27 65.48
Fractional positions:
B (0.470, 0.113, 0.885)
B (0.937, 0.183, 0.886)
Al (0.241, 0.162, 0.356)
Al (0.172, 0.616, 0.994)
Se (0.886, 0.749, 0.492)
Se (0.594, 0.592, 0.196)



[2]
# AlBSe3

A geometry-optimized AlBSe3 structure (PBE, Alexandria via LeMat-Bulk).

Properties
Density of states at the Fermi level in states/eV/f.u.: 2.83
Total DFT energy (no corrections) in eV/atom: -3.271
Magnetization in μB/atom: 0.00
Formation energy (no corrections) in eV per atom: 0.903
Space-group type: No. 221

abc: 4.879 4.879 4.879
angles: 90.00 90.00 90.00
Fractional positions:
Se (0.000, 0.500, 0.000)
Se (0.500, 0.000, 0.000)
Se (0.000, 0.000, 0.500)
B (0.500, 0.500, 0.500)
Al (0.000, 0.000, 0.000)



[3]
# AlBSe3

A geometry-optimized AlBSe3 structure (PBE, Alexandria via LeMat-Bulk).

Properties
Density of states at the Fermi level in states/eV/f.u.: 0.00
Total DFT energy (no corrections) in eV/atom: -4.508
Magnetization in μB/atom: 0.00
Formation energy (no corrections) in eV per atom: -0.333
Space-group type: No. 12

abc: 3.459 6.399 10.877
angles: 95.46 90.00 105.68
Fractional positions:
Al (0.650, 0.300, 0.906)
Al (0.350, 0.700, 0.094)
Se (0.639, 0.277, 0.355)
Se (0.854, 0.708, 0.921)
Se (0.909, 0.817, 0.246)
Se (0.091, 0.183, 0.754)
Se (0.146, 0.292, 0.079)
Se (0.361, 0.723, 0.645)
B (0.078, 0.155, 0.266)
B (0.922, 0.845, 0.734)



[4]
# AlBSe

A geometry-optimized AlBSe structure (PBE, Alexandria via LeMat-Bulk).

Properties
Density of states at the Fermi level in states/eV/f.u.: 0.39
Total DFT energy (no corrections) in eV/atom: -4.818
Magnetization in μB/atom: 0.00
Formation energy (no corrections) in eV per atom: -0.183
Space-group type: No. 2

abc: 3.325 3.779 10.693
angles: 93.77 91.43 116.34
Fractional positions:
Se (0.845, 0.642, 0.308)
Se (0.155, 0.358, 0.692)
B (0.750, 0.001, 0.000)
B (0.250, 0.999, 0.000)
Al (0.494, 0.019, 0.806)
Al (0.506, 0.981, 0.194)



[5]
# AlBSe

A geometry-optimized AlBSe structure (PBE, Alexandria via LeMat-Bulk).

Properties
Density of states at the Fermi level in states/eV/f.u.: 0.21
Total DFT energy (no corrections) in eV/atom: -4.815
Magnetization in μB/atom: 0.00
Formation energy (no corrections) in eV per atom: -0.180
Space-group type: No. 2

abc: 3.321 6.797 7.081
angles: 62.85 82.13 75.96
Fractional positions:
B (0.753, 0.000, 0.500)
B (0.247, 0.000, 0.500)
Se (0.246, 0.350, 0.769)
Se (0.754, 0.650, 0.231)
Al (0.841, 0.285, 0.553)
Al (0.159, 0.715, 0.447)



[6]
# AlBSe3

A geometry-optimized AlBSe3 structure (PBE, Alexandria via LeMat-Bulk).

Properties
Density of states at the Fermi level in states/eV/f.u.: 2.81
Total DFT energy (no corrections) in eV/atom: -3.636
Magnetization in μB/atom: 0.00
Formation energy (no corrections) in eV per atom: 0.539
Space-group type: No. 221

abc: 4.497 4.497 4.497
angles: 90.00 90.00 90.00
Fractional positions:
Al (0.500, 0.500, 0.500)
Se (0.500, 0.000, 0.000)
Se (0.000, 0.500, 0.000)
Se (0.000, 0.000, 0.500)
B (0.000, 0.000, 0.000)



Look up the total DFT energy (no corrections) of the fourth one. -4.818 eV/atom



Among the records above, which one has the highest total DFT energy (no corrections)? number 2